Record 1
Below is a geometry-optimized SbPIrO2 structure, with properties calculated at the GGA-PBEsol level.

Values from the calculation:
Energy above the lowest structure with this stoichiometry (meV per atom): 352
E_form (uncorrected) (eV/atom): 0.260

Cell lengths 3.763, 3.763, 5.469 Å; angles 90.00, 90.00, 90.00 degrees
Site moments in Bohr magnetons follow the coordinates.
Sites, in units of the cell vectors:
Ir1 0.500 0.500 0.500  1.09
O1 0.000 0.500 0.000  0.04
P1 0.000 0.000 0.500  0.03
Sb1 0.000 0.000 0.000  0.02
O2 0.500 0.000 0.000  0.04

Record 2
Below is a geometry-optimized LaTl2Pb structure, with properties calculated at the GGA-PBEsol level.

Values from the calculation:
Energy of formation (eV per atom): -0.358

Cell lengths 4.750, 4.750, 5.999 Å; angles 113.32, 113.32, 90.00 degrees
Sites, in units of the cell vectors:
Tl1 0.250 0.750 0.500
La1 0.000 0.000 0.000
Pb1 0.500 0.500 0.000
Tl2 0.750 0.250 0.500

Record 3
Below is a geometry-optimized ZnCd2Rh structure, with properties calculated at the GGA-PBEsol level.

Values from the calculation:
Energy of formation (eV per atom): -0.130

Cell lengths 3.107, 3.108, 6.898 Å; angles 90.00, 90.00, 90.00 degrees
Sites, in units of the cell vectors:
Zn1 0.500 0.500 0.712
Cd1 0.000 0.000 0.974
Cd2 0.500 0.500 0.280
Rh1 0.000 0.000 0.534

Short version: total energy = -5.8746 -4.0097 -3.1587 eV/atom, in the order given.